# 1
# KRbSbS2 (GGA-PBE, relaxed)
# total energy	-3.55	eV per atom
# polymorph energy (0 for the lowest one)	0.0	meV per atom
# E_form (uncorrected)	-0.657	eV per atom
# crystal system	monoclinic
data_KRbSbS2
_symmetry_space_group_name_H-M 'P 1 2/c 1'
_symmetry_Int_Tables_number 13
_cell_length_a 7.869
_cell_length_b 7.195
_cell_length_c 5.895
_cell_angle_alpha 90.00
_cell_angle_beta 90.06
_cell_angle_gamma 90.00
loop_
_symmetry_equiv_pos_as_xyz
'x,y,z'
'-x,-y,-z'
'-x,y,-z+1/2'
'x,-y,z+1/2'
loop_
_atom_site_label
_atom_site_type_symbol
_atom_site_fract_x
_atom_site_fract_y
_atom_site_fract_z
K1 K 0.000 0.068 0.250
Rb1 Rb 0.500 0.316 0.250
Sb1 Sb 0.000 0.500 0.000
S1 S 0.232 0.287 0.750

# 2
# KRbSbS2 (GGA-PBE, relaxed)
# total energy	-2.44	eV per atom
# polymorph energy (0 for the lowest one)	1106.6	meV per atom
# E_form (uncorrected)	0.450	eV per atom
# crystal system	tetragonal
data_KRbSbS2
_symmetry_space_group_name_H-M 'P 4/m m m'
_symmetry_Int_Tables_number 123
_symmetry_space_group_name_Hall '-P 4 2'
_cell_length_a 5.702
_cell_length_b 5.702
_cell_length_c 5.555
_cell_angle_alpha 90.00
_cell_angle_beta 90.00
_cell_angle_gamma 90.00
loop_
_atom_site_label
_atom_site_type_symbol
_atom_site_fract_x
_atom_site_fract_y
_atom_site_fract_z
K1 K 0.000 0.000 0.000
Rb1 Rb 0.000 0.000 0.500
Sb1 Sb 0.500 0.500 0.500
S1 S 0.000 0.500 0.000

# 3
# KRbSbS3 (GGA-PBE, relaxed)
# total energy	-3.80	eV per atom
# E_form (uncorrected)	-0.706	eV per atom
# crystal system	monoclinic
data_KRbSbS3
_symmetry_space_group_name_H-M 'C 1 2/m 1'
_symmetry_Int_Tables_number 12
_cell_length_a 13.389
_cell_length_b 8.039
_cell_length_c 9.379
_cell_angle_alpha 90.00
_cell_angle_beta 99.44
_cell_angle_gamma 90.00
loop_
_symmetry_equiv_pos_as_xyz
'x,y,z'
'-x,-y,-z'
'-x,y,-z'
'x,-y,z'
'x+1/2,y+1/2,z'
'-x+1/2,-y+1/2,-z'
'-x+1/2,y+1/2,-z'
'x+1/2,-y+1/2,z'
loop_
_atom_site_label
_atom_site_type_symbol
_atom_site_fract_x
_atom_site_fract_y
_atom_site_fract_z
K1 K 0.000 0.240 0.000
Rb1 Rb 0.172 0.500 0.611
Sb1 Sb 0.020 0.000 0.350
S1 S 0.113 0.244 0.323
S2 S 0.128 0.000 0.822

# 4
# KRbSc2S (GGA-PBE, relaxed)
# total energy	-2.44	eV per atom
# E_form (uncorrected)	1.334	eV per atom
# crystal system	tetragonal
data_KRbSc2S
_symmetry_space_group_name_H-M 'P 4/m m m'
_symmetry_Int_Tables_number 123
_symmetry_space_group_name_Hall '-P 4 2'
_cell_length_a 5.724
_cell_length_b 5.724
_cell_length_c 6.300
_cell_angle_alpha 90.00
_cell_angle_beta 90.00
_cell_angle_gamma 90.00
loop_
_atom_site_label
_atom_site_type_symbol
_atom_site_fract_x
_atom_site_fract_y
_atom_site_fract_z
K1 K 0.000 0.000 0.000
Rb1 Rb 0.000 0.000 0.500
Sc1 Sc 0.000 0.500 0.000
S1 S 0.500 0.500 0.500

# 5
# KRbSeS2 (GGA-PBE, relaxed)
# total energy	-3.30	eV per atom
# E_form (uncorrected)	-0.535	eV per atom
# crystal system	monoclinic
data_KRbSeS2
_symmetry_space_group_name_H-M 'P 1 2/c 1'
_symmetry_Int_Tables_number 13
_cell_length_a 7.842
_cell_length_b 4.993
_cell_length_c 9.237
_cell_angle_alpha 90.00
_cell_angle_beta 103.27
_cell_angle_gamma 90.00
loop_
_symmetry_equiv_pos_as_xyz
'x,y,z'
'-x,-y,-z'
'-x,y,-z+1/2'
'x,-y,z+1/2'
loop_
_atom_site_label
_atom_site_type_symbol
_atom_site_fract_x
_atom_site_fract_y
_atom_site_fract_z
K1 K 0.000 0.018 0.250
Rb1 Rb 0.500 0.290 0.750
Se1 Se 0.000 0.500 0.000
S1 S 0.254 0.219 0.041

# 6
# KRb2SiS4 (GGA-PBE, relaxed)
# total energy	-4.04	eV per atom
# E_form (uncorrected)	-0.918	eV per atom
# crystal system	tetragonal
data_KRb2SiS4
_symmetry_space_group_name_H-M 'I -4 2 m'
_symmetry_Int_Tables_number 121
_symmetry_space_group_name_Hall 'I -4 2'
_cell_length_a 8.293
_cell_length_b 8.293
_cell_length_c 8.036
_cell_angle_alpha 90.00
_cell_angle_beta 90.00
_cell_angle_gamma 90.00
loop_
_atom_site_label
_atom_site_type_symbol
_atom_site_fract_x
_atom_site_fract_y
_atom_site_fract_z
K1 K 0.000 0.000 0.000
Rb1 Rb 0.000 0.500 0.250
Si1 Si 0.000 0.000 0.500
S1 S 0.150 0.150 0.350